Entry 1:
Compound: La4ZnAu3
Source: Alexandria
Functional: PBE-GGA
Structure: optimized geometry

The calculation puts the energy of formation from the pure elements at -0.679 eV/atom. For the energy, the calculation gives -4.5312 eV per atom.

It has space group Pmm2 (No. 25), with a = 4.0103 Å, b = 4.8197 Å, c = 11.5770 Å, α = 90.00°, β = 90.00° and γ = 90.00°. The distinct sites, in fractional coordinates, are La at (0.0000, 0.0000, 0.0000), La at (0.0000, 0.5000, 0.2725), La at (0.5000, 0.0000, 0.4988), La at (0.5000, 0.5000, 0.7745), Zn at (0.0000, 0.0000, 0.7157), Au at (0.0000, 0.5000, 0.5573), Au at (0.5000, 0.0000, 0.2240) and Au at (0.5000, 0.5000, 0.0518).

---

Entry 2:
Compound: Ac2Tl2Ag3
Source: Alexandria
Functional: PBE-GGA
Structure: optimized geometry

The relative energy among the computed polymorphs comes out at 0 meV per atom. The calculation puts the energy of formation from the pure elements at -0.230 eV/atom. For the energy, the calculation gives -3.3022 eV per atom.

It has space group Cmcm (No. 63), with a = 4.5819 Å, b = 21.2988 Å, c = 8.1805 Å, α = 90.00°, β = 90.00° and γ = 90.00°. The distinct sites, in fractional coordinates, are Ac at (0.0000, 0.0540, 0.2500), Ac at (0.0000, 0.1545, 0.7500), Tl at (0.0000, 0.3136, 0.5528), Ag at (0.0000, 0.2239, 0.2500) and Ag at (0.0000, 0.4436, 0.0779).

---

Entry 3:
Compound: LaAuO
Source: Alexandria
Functional: PBE-GGA
Structure: optimized geometry

The relative energy among the computed polymorphs comes out at 457 meV per atom. The uncorrected formation energy is -5.37 eV/f.u. For the energy, the calculation gives -6.1775 eV per atom.

It has space group C2/m (No. 12), with a = 13.1134 Å, b = 3.4217 Å, c = 7.1693 Å, α = 90.00°, β = 120.31° and γ = 90.00°. The distinct sites, in fractional coordinates, are La at (0.0000, 0.0000, 0.0000), La at (0.0000, 0.0000, 0.5000), Au at (0.2269, 0.5000, 0.3235) and O at (0.0128, 0.5000, 0.7514).

---

Entry 4:
Compound: Mg2FeBr
Source: Alexandria
Functional: PBE-GGA
Structure: optimized geometry

The relative energy among the computed polymorphs comes out at 306 meV per atom. The uncorrected formation energy is 0.91 eV/f.u. For the energy, the calculation gives -3.1038 eV per atom.

It has space group Immm (No. 71), with a = 3.2967 Å, b = 5.6107 Å, c = 9.1536 Å, α = 90.00°, β = 90.00° and γ = 90.00°. The distinct sites, in fractional coordinates, are Mg at (0.0000, 0.0000, 0.2493), Fe at (0.0000, 0.5000, 0.0000) and Br at (0.0000, 0.5000, 0.5000).

---

Entry 5:
Compound: MnTe2Au
Source: Alexandria
Functional: PBE-GGA
Structure: optimized geometry

The relative energy among the computed polymorphs comes out at 52 meV per atom. The uncorrected formation energy is -0.15 eV/f.u. For the energy, the calculation gives -4.7210 eV per atom.

It has space group P3m1 (No. 156), with a = 4.0638 Å, b = 4.0638 Å, c = 7.4084 Å, α = 90.00°, β = 90.00° and γ = 120.00°. The distinct sites, in fractional coordinates, are Mn at (0.0000, 0.0000, 0.0000), Te at (0.3333, 0.6667, 0.8045), Te at (0.6667, 0.3333, 0.2199) and Au at (0.3333, 0.6667, 0.4485).

---

Entry 6:
Compound: Ca3Si5Ni6
Source: Alexandria
Functional: PBE-GGA
Structure: optimized geometry

The uncorrected formation energy is -7.78 eV/f.u. For the energy, the calculation gives -5.3988 eV per atom.

It has space group Pmmn (No. 59, origin choice 2), with a = 3.9053 Å, b = 11.7571 Å, c = 9.5859 Å, α = 90.00°, β = 90.00° and γ = 90.00°. The distinct sites, in fractional coordinates, are Ca at (0.2500, 0.0956, 0.2475), Ca at (0.2500, 0.7500, 0.2509), Si at (0.2500, 0.0749, 0.6459), Si at (0.2500, 0.6346, 0.9885), Si at (0.2500, 0.7500, 0.5938), Ni at (0.2500, 0.0504, 0.9074), Ni at (0.2500, 0.2500, 0.5226), Ni at (0.2500, 0.2500, 0.9916) and Ni at (0.2500, 0.5771, 0.4878).

---

Entry 7:
Compound: NaPaOsO6
Source: Alexandria
Functional: PBE-GGA
Structure: optimized geometry

The uncorrected formation energy is -18.26 eV/f.u. For the energy, the calculation gives -7.7838 eV per atom.

It has space group Imma (No. 74), with a = 7.3276 Å, b = 7.8619 Å, c = 10.9488 Å, α = 90.00°, β = 90.00° and γ = 90.00°. The distinct sites, in fractional coordinates, are Na at (0.0000, 0.2500, 0.1956), Pa at (0.0000, 0.0000, 0.5000), Os at (0.2500, 0.2500, 0.7500), O at (0.0000, 0.2500, 0.4107), O at (0.0000, 0.2500, 0.7848) and O at (0.2107, 0.0743, 0.6290).

---

Entry 8:
Compound: PmSiNi4
Source: Alexandria
Functional: PBE-GGA
Structure: optimized geometry

The relative energy among the computed polymorphs comes out at 0 meV per atom. The uncorrected formation energy is -2.62 eV/f.u. For the energy, the calculation gives -5.9869 eV per atom.

It has space group Pmma (No. 51), with a = 7.1373 Å, b = 3.6279 Å, c = 6.6825 Å, α = 90.00°, β = 90.00° and γ = 90.00°. The distinct sites, in fractional coordinates, are Pm at (0.2500, 0.0000, 0.1322), Si at (0.2500, 0.0000, 0.6989), Ni at (0.0000, 0.0000, 0.5000), Ni at (0.0606, 0.5000, 0.7805) and Ni at (0.2500, 0.5000, 0.4618).

---

Question: What is the energy in the second record?
Answer: -3.3022 eV per atom

---

Question: Look up the energy of the sixth one.
Answer: -5.3988 eV per atom

---

Question: Number 1 is which compound?
Answer: La4ZnAu3